FeNi2MoN (PBE-GGA, optimized geometry); density of states at the Fermi level = 6.3 states/eV/f.u.; raw formation energy = 5.5 kJ/mol of atoms; final energy = -7.78 eV/atom
1.0
3.786 0.000 0.000
0.000 3.786 0.000
0.000 0.000 4.047
N Ni Fe Mo
1 2 1 1
Direct
0.000 0.000 0.000 N
0.500 0.000 0.000 Ni
0.000 0.500 0.000 Ni
0.500 0.500 0.500 Fe
0.000 0.000 0.500 Mo

---

Ce8Tc3IrBr4 (PBE-GGA, optimized geometry); density of states at the Fermi level = 31.7 states/eV/f.u.; raw formation energy = -68.6 kJ/mol of atoms; final energy = -6.59 eV/atom
1.0
-6.854 3.859 1.842
-4.673 -7.485 -1.704
5.908 -0.579 5.478
Br Ce Tc Ir
4 8 3 1
Direct
0.500 0.000 0.000 Br
0.500 0.000 0.500 Br
0.000 0.000 0.000 Br
0.000 0.000 0.500 Br
0.732 0.697 0.465 Ce
0.727 0.696 0.962 Ce
0.235 0.696 0.469 Ce
0.235 0.696 0.962 Ce
0.765 0.304 0.038 Ce
0.765 0.304 0.531 Ce
0.268 0.303 0.535 Ce
0.273 0.304 0.038 Ce
0.500 0.500 0.000 Tc
0.000 0.500 0.500 Tc
0.500 0.500 0.500 Tc
0.000 0.500 0.000 Ir

---

Cs2Ba4Pd (PBE-GGA, optimized geometry); density of states at the Fermi level = 9.2 states/eV/f.u.; DFT formation energy = -0.5 eV per formula unit; final energy = -2.15 eV/atom
1.0
-5.344 3.466 -1.133
0.080 -1.898 -6.184
-9.642 -9.066 -0.726
Ba Cs Pd
4 2 1
Direct
0.123 0.123 0.753 Ba
0.877 0.877 0.247 Ba
0.500 0.000 0.000 Ba
0.000 0.500 0.000 Ba
0.676 0.676 0.649 Cs
0.324 0.324 0.351 Cs
0.000 0.000 0.000 Pd

---

AgTeSe2Br (PBE-GGA, optimized geometry); density of states at the Fermi level = 5.0 states/eV/f.u.; E above lowest polymorph = 0.9699 eV/atom; raw formation energy = 85.5 kJ/mol of atoms; final energy = -2.04 eV/atom
1.0
5.204 0.000 0.000
0.000 5.608 0.000
0.000 0.000 5.204
Ag Te Se Br
1 1 2 1
Direct
0.500 0.500 0.500 Ag
0.000 0.500 0.000 Te
0.500 0.000 0.000 Se
0.000 0.000 0.500 Se
0.000 0.000 0.000 Br

---

Pm4Tc (PBE-GGA, optimized geometry); density of states at the Fermi level = 7.7 states/eV/f.u.; DFT formation energy = 0.9 eV per formula unit; final energy = -5.69 eV/atom
1.0
-1.858 5.141 0.615
-4.749 -1.952 1.976
2.065 0.136 5.097
Tc Pm
1 4
Direct
0.500 0.500 0.500 Tc
0.500 0.000 0.500 Pm
0.500 0.500 0.000 Pm
0.000 0.000 0.000 Pm
0.000 0.500 0.500 Pm

---

CsP2IO8 (PBE-GGA, optimized geometry); density of states at the Fermi level = 0.0 states/eV/f.u.; raw formation energy = -153.8 kJ/mol of atoms; final energy = -6.00 eV/atom
1.0
5.032 -0.094 0.122
2.238 4.508 0.122
0.533 0.324 9.125
O I Cs P
8 1 1 2
Direct
0.714 0.243 0.832 O
0.243 0.714 0.832 O
0.314 0.314 0.662 O
0.758 0.758 0.052 O
0.286 0.757 0.168 O
0.686 0.686 0.338 O
0.242 0.242 0.948 O
0.757 0.286 0.168 O
0.000 0.000 0.000 I
0.000 0.000 0.500 Cs
0.629 0.629 0.189 P
0.371 0.371 0.811 P

---

ReHg2Rh (PBE-GGA, optimized geometry); density of states at the Fermi level = 3.5 states/eV/f.u.; E above lowest polymorph = 0.0580 eV/atom; DFT formation energy = 1.3 eV per formula unit; final energy = -4.77 eV/atom
1.0
10.161 -1.445 0.014
10.161 1.445 0.014
9.952 0.000 2.508
Hg Re Rh
2 1 1
Direct
0.758 0.758 0.758 Hg
0.990 0.990 0.990 Hg
0.509 0.509 0.509 Re
0.242 0.242 0.242 Rh

---

CrSnN3 (PBE-GGA, optimized geometry); density of states at the Fermi level = 5.6 states/eV/f.u.; raw formation energy = 198.5 kJ/mol of atoms; final energy = -5.66 eV/atom
1.0
-2.489 1.776 -2.644
1.979 -1.767 -3.050
-2.496 -3.172 0.219
N Sn Cr
3 1 1
Direct
0.500 0.000 0.000 N
0.000 0.500 0.000 N
0.000 0.000 0.500 N
0.000 0.000 0.000 Sn
0.500 0.500 0.500 Cr

---

LaNbSe4 (PBE-GGA, optimized geometry); density of states at the Fermi level = 1.7 states/eV/f.u.; raw formation energy = -106.6 kJ/mol of atoms; final energy = -5.93 eV/atom
1.0
-4.881 -1.112 0.521
1.695 -5.783 3.529
2.204 5.258 7.558
La Se Nb
2 8 2
Direct
0.842 0.860 0.684 La
0.158 0.360 0.316 La
0.540 0.401 0.079 Se
0.717 0.566 0.434 Se
0.910 0.263 0.820 Se
0.090 0.763 0.180 Se
0.347 0.583 0.693 Se
0.460 0.901 0.921 Se
0.283 0.066 0.566 Se
0.653 0.083 0.307 Se
0.593 0.761 0.187 Nb
0.407 0.261 0.813 Nb

---

BeTcN3 (PBE-GGA, optimized geometry); density of states at the Fermi level = 4.8 states/eV/f.u.; raw formation energy = 126.0 kJ/mol of atoms; final energy = -6.51 eV/atom
1.0
3.419 0.000 0.000
0.000 3.419 0.000
0.000 0.000 3.419
N Be Tc
3 1 1
Direct
0.000 0.500 0.000 N
0.500 0.000 0.000 N
0.000 0.000 0.500 N
0.000 0.000 0.000 Be
0.500 0.500 0.500 Tc

---

SrPm2PuSe4 (PBE-GGA, optimized geometry); density of states at the Fermi level = 12.3 states/eV/f.u.; raw formation energy = -172.9 kJ/mol of atoms; final energy = -6.72 eV/atom
1.0
4.221 0.000 0.000
0.000 7.366 -0.161
0.000 2.578 6.878
Se Pu Pm Sr
4 1 2 1
Direct
0.000 0.750 0.756 Se
0.500 0.756 0.243 Se
0.000 0.250 0.244 Se
0.500 0.244 0.757 Se
0.500 0.500 0.000 Pu
0.000 0.000 0.000 Pm
0.500 0.000 0.500 Pm
0.000 0.500 0.500 Sr

---

ThTcGe2 (PBE-GGA, optimized geometry); density of states at the Fermi level = 4.7 states/eV/f.u.; E above lowest polymorph = 0.2864 eV/atom; DFT formation energy = -1.0 eV per formula unit; final energy = -7.01 eV/atom
1.0
3.294 0.000 0.000
0.000 3.294 0.000
0.000 0.000 7.035
Ge Tc Th
2 1 1
Direct
0.000 0.000 0.196 Ge
0.000 0.000 0.804 Ge
0.500 0.500 0.000 Tc
0.500 0.500 0.500 Th

---

LaInGa2Mo (PBE-GGA, optimized geometry); density of states at the Fermi level = 4.3 states/eV/f.u.; DFT formation energy = 3.7 eV per formula unit; final energy = -4.16 eV/atom
1.0
5.075 0.000 0.000
0.000 5.272 0.000
0.000 0.000 5.075
Ga In La Mo
2 1 1 1
Direct
0.500 0.000 0.000 Ga
0.000 0.000 0.500 Ga
0.000 0.000 0.000 In
0.500 0.500 0.500 La
0.000 0.500 0.000 Mo

---

Zr2TiSb (PBE-GGA, optimized geometry); density of states at the Fermi level = 3.9 states/eV/f.u.; raw formation energy = -36.2 kJ/mol of atoms; final energy = -7.65 eV/atom
1.0
-0.029 -4.303 -1.613
2.672 1.142 -3.093
3.297 -0.957 2.494
Ti Zr Sb
1 2 1
Direct
0.500 0.000 0.000 Ti
0.000 0.000 0.500 Zr
0.000 0.500 0.000 Zr
0.500 0.500 0.500 Sb

---

VGa2Rh (PBE-GGA, optimized geometry); density of states at the Fermi level = 3.3 states/eV/f.u.; DFT formation energy = -1.2 eV per formula unit; final energy = -5.94 eV/atom
1.0
-3.458 -0.937 -0.798
0.685 -3.651 1.321
-1.131 1.095 3.615
V Rh Ga
1 1 2
Direct
0.500 0.500 0.500 V
0.500 0.000 0.000 Rh
0.000 0.500 0.000 Ga
0.000 0.000 0.500 Ga

---

CrFeTe3 (PBE-GGA, optimized geometry); density of states at the Fermi level = 11.4 states/eV/f.u.; raw formation energy = 108.6 kJ/mol of atoms; final energy = -4.38 eV/atom
1.0
5.150 0.000 0.000
0.000 5.150 0.000
0.000 0.000 5.150
Fe Te Cr
1 3 1
Direct
0.500 0.500 0.500 Fe
0.000 0.000 0.500 Te
0.500 0.000 0.000 Te
0.000 0.500 0.000 Te
0.000 0.000 0.000 Cr

---

Ta2BeRe (PBE-GGA, optimized geometry); density of states at the Fermi level = 2.5 states/eV/f.u.; E above lowest polymorph = 0.0000 eV/atom; DFT formation energy = -0.5 eV per formula unit; final energy = -10.10 eV/atom
1.0
-0.594 1.636 2.670
-0.062 -2.724 1.655
5.883 0.481 1.014
Ta Re Be
2 1 1
Direct
0.000 0.000 0.488 Ta
0.000 0.000 0.012 Ta
0.500 0.500 0.750 Re
0.500 0.500 0.250 Be

---

Re3BN (PBE-GGA, optimized geometry); density of states at the Fermi level = 4.1 states/eV/f.u.; E above lowest polymorph = 0.0000 eV/atom; raw formation energy = 98.2 kJ/mol of atoms; final energy = -9.45 eV/atom
1.0
3.982 0.000 0.000
0.000 3.982 0.000
0.000 0.000 3.982
Re B N
3 1 1
Direct
0.500 0.000 0.000 Re
0.000 0.000 0.500 Re
0.000 0.500 0.000 Re
0.500 0.500 0.500 B
0.000 0.000 0.000 N

---

RbNi3Pd (PBE-GGA, optimized geometry); density of states at the Fermi level = 14.4 states/eV/f.u.; E above lowest polymorph = 0.0000 eV/atom; DFT formation energy = 4.9 eV per formula unit; final energy = -3.72 eV/atom
1.0
-1.123 4.363 -1.617
-2.025 1.039 4.210
4.189 1.672 1.602
Rb Pd Ni
1 1 3
Direct
0.500 0.500 0.500 Rb
0.000 0.000 0.000 Pd
0.000 0.000 0.500 Ni
0.000 0.500 0.000 Ni
0.500 0.000 0.000 Ni

---

TbPmSmTl (PBE-GGA, optimized geometry); density of states at the Fermi level = 6.1 states/eV/f.u.; E above lowest polymorph = 0.0000 eV/atom; DFT formation energy = -0.8 eV per formula unit; final energy = -4.31 eV/atom
1.0
-0.411 3.139 3.742
0.939 -3.643 3.159
4.855 0.992 -0.299
Pm Tb Sm Tl
1 1 1 1
Direct
0.000 0.500 0.500 Pm
0.500 0.500 0.000 Tb
0.500 0.000 0.500 Sm
0.000 0.000 0.000 Tl

---

As2PdCSe (PBE-GGA, optimized geometry); density of states at the Fermi level = 5.0 states/eV/f.u.; E above lowest polymorph = 0.8630 eV/atom; raw formation energy = 176.7 kJ/mol of atoms; final energy = -3.61 eV/atom
1.0
-2.487 4.082 0.175
-1.119 -0.484 -4.625
-4.196 -2.613 1.289
C Se As Pd
1 1 2 1
Direct
0.500 0.500 0.500 C
0.000 0.000 0.500 Se
0.500 0.000 0.000 As
0.000 0.500 0.000 As
0.000 0.000 0.000 Pd

---

Fe2BPt (PBE-GGA, optimized geometry); density of states at the Fermi level = 8.9 states/eV/f.u.; DFT formation energy = 2.4 eV per formula unit; final energy = -6.81 eV/atom
1.0
3.350 0.000 0.000
0.000 3.350 0.000
1.675 1.675 8.279
Fe B Pt
4 2 2
Direct
0.375 0.444 0.750 Fe
0.556 0.125 0.250 Fe
0.194 0.625 0.250 Fe
0.875 0.806 0.750 Fe
0.500 0.500 0.000 B
0.250 0.750 0.500 B
0.750 0.250 0.500 Pt
0.000 0.000 0.000 Pt

---

Dy3GaSCl (PBE-GGA, optimized geometry); density of states at the Fermi level = 3.5 states/eV/f.u.; raw formation energy = -125.4 kJ/mol of atoms; final energy = -5.10 eV/atom
1.0
-3.361 1.781 0.201
-2.453 -5.317 6.089
5.067 9.298 2.339
Ga S Dy Cl
2 2 6 2
Direct
0.750 0.716 0.760 Ga
0.250 0.284 0.240 Ga
0.250 0.719 0.131 S
0.750 0.281 0.869 S
0.250 0.495 0.838 Dy
0.750 0.926 0.099 Dy
0.750 0.326 0.485 Dy
0.250 0.074 0.901 Dy
0.250 0.674 0.515 Dy
0.750 0.505 0.162 Dy
0.250 0.178 0.569 Cl
0.750 0.822 0.431 Cl

---

SrBe2RuPb (PBE-GGA, optimized geometry); density of states at the Fermi level = 8.4 states/eV/f.u.; DFT formation energy = 12.4 eV per formula unit; final energy = -1.94 eV/atom
1.0
4.831 0.000 0.000
0.000 5.855 0.000
0.000 0.000 4.831
Be Ru Sr Pb
2 1 1 1
Direct
0.500 0.000 0.000 Be
0.000 0.000 0.500 Be
0.500 0.500 0.500 Ru
0.000 0.000 0.000 Sr
0.000 0.500 0.000 Pb

---

Pm3PuC (PBE-GGA, optimized geometry); density of states at the Fermi level = 14.8 states/eV/f.u.; DFT formation energy = 1.0 eV per formula unit; final energy = -7.36 eV/atom
1.0
5.172 0.000 0.000
0.000 5.172 0.000
0.000 0.000 5.172
Pm Pu C
3 1 1
Direct
0.500 0.000 0.000 Pm
0.000 0.000 0.500 Pm
0.000 0.500 0.000 Pm
0.500 0.500 0.500 Pu
0.000 0.000 0.000 C

---

Sm2Sc2Al (PBE-GGA, optimized geometry); density of states at the Fermi level = 8.5 states/eV/f.u.; DFT formation energy = 1.7 eV per formula unit; final energy = -4.83 eV/atom
1.0
-1.600 3.911 -2.064
0.342 0.506 -4.663
-8.030 -2.142 -3.193
Al Sc Sm
1 2 2
Direct
0.000 0.000 0.000 Al
0.304 0.304 0.088 Sc
0.696 0.696 0.912 Sc
0.566 0.566 0.301 Sm
0.434 0.434 0.699 Sm

---

HoMg2ScAu4 (PBE-GGA, optimized geometry); density of states at the Fermi level = 4.2 states/eV/f.u.; DFT formation energy = -6.1 eV per formula unit; final energy = -4.17 eV/atom
1.0
-2.641 0.718 3.943
-4.529 -1.581 0.176
0.133 -7.184 4.319
Au Sc Mg Ho
4 1 2 1
Direct
0.872 0.872 0.384 Au
0.128 0.128 0.616 Au
0.380 0.380 0.860 Au
0.620 0.620 0.140 Au
0.500 0.500 0.500 Sc
0.752 0.752 0.745 Mg
0.248 0.248 0.255 Mg
0.000 0.000 0.000 Ho